Entry i
Material: MgWN2F
Method: DFT, PBE with a Hubbard U
State: optimized geometry

Cell: 4.036 4.036 4.079 Å, 90.00 90.00 90.00°
Positions (direct):
Mg 0.000 0.000 0.000
W 0.500 0.500 0.500
N 0.000 0.500 0.500
N 0.500 0.000 0.500
F 0.500 0.500 0.000

Properties
- Magnetic moment: 0.96 μB per formula unit
- N(E_F): 1.05 states/eV/cell
- Space-group type: No. 123
- Mass density: 6.4 Mg/m³

---

Entry ii
Material: MgWN2F
Method: DFT, PBE with a Hubbard U
State: optimized geometry

Cell: 4.019 4.019 3.501 Å, 90.00 90.00 90.00°
Positions (direct):
Mg 0.000 0.000 0.000
W 0.500 0.500 0.500
N 0.000 0.500 0.000
N 0.500 0.000 0.000
F 0.000 0.000 0.500

Properties
- Magnetic moment: 1.01 μB per formula unit
- N(E_F): 1.05 states/eV/cell
- Space-group type: No. 123
- Mass density: 7.5 Mg/m³

---

Name the least stable of them. entry ii.